Run A
ZrFeSeN2 | GGA-PBE | optimized geometry

Cell lengths 3.7518, 3.7518, 4.6411 Å; angles 90.00, 90.00, 90.00 degrees
Closest atoms and distances in Å follow each position.
Atoms (fractional coordinates):
Zr: 0.0000 0.0000 0.0000  4 Se 2.65
Fe: 0.5000 0.5000 0.5000  4 N 1.88
Se: 0.5000 0.5000 0.0000  2 Fe 2.32
N: 0.0000 0.5000 0.5000  2 Fe 1.88
N: 0.5000 0.0000 0.5000  2 Fe 1.88

Properties
Space-group type ... P4/mmm

=====

Run B
ZrFeSeN2 | GGA-PBE | optimized geometry

Cell lengths 4.0933, 4.0933, 5.6098 Å; angles 90.00, 90.00, 90.00 degrees
Closest atoms and distances in Å follow each position.
Atoms (fractional coordinates):
Zr: 0.0000 0.0000 0.0000  4 N 2.05
Fe: 0.5000 0.5000 0.5000  4 Se 2.89
Se: 0.0000 0.0000 0.5000  2 Zr 2.80, 4 Fe 2.89
N: 0.0000 0.5000 0.0000  2 Zr 2.05
N: 0.5000 0.0000 0.0000  2 Zr 2.05

Properties
Space-group type ... P4/mmm

=====

Most stable structure, least stable structure: run A, run B.